[1]
Computed, not measured: TlCo4Se8 after structural relaxation at the PBE-GGA level of DFT.

Summary:
Formation energy (no corrections) in meV/atom: -280
DFT total energy in eV per atom: -4.793
Density in g/cm3: 5.54
Crystal system: monoclinic

```
13
Lattice="5.945 -3.430 0.000 5.945 3.430 0.000 -3.970 0.000 7.872" Properties=species:S:1:pos:R:3 pbc="T T T"
Tl 0.000 0.000 0.000
Co -1.985 0.000 3.936
Co 0.988 1.715 3.936
Co 0.988 -1.715 3.936
Co 3.960 0.000 3.936
Se 2.965 1.721 5.245
Se -0.004 0.000 5.267
Se 1.973 0.000 2.627
Se 4.956 1.721 2.627
Se 2.965 -1.721 5.245
Se 5.948 0.000 5.245
Se 7.925 0.000 2.604
Se 4.956 -1.721 2.627
```

[2]
Computed, not measured: Tl3CoSe after structural relaxation at the PBE-GGA level of DFT.

Summary:
Formation energy (no corrections) in meV/atom: 846
DFT total energy in eV per atom: -2.692
Density in g/cm3: 6.10
Crystal system: cubic

```
5
Lattice="5.890 0.000 0.000 0.000 5.890 0.000 0.000 0.000 5.890" Properties=species:S:1:pos:R:3 pbc="T T T"
Tl 0.000 0.000 2.945
Tl 0.000 2.945 0.000
Tl 2.945 0.000 0.000
Co 2.945 2.945 2.945
Se 0.000 0.000 0.000
```

[3]
Computed, not measured: TlCo2Se2 after structural relaxation at the PBE-GGA level of DFT.

Summary:
Formation energy (no corrections) in meV/atom: 174
DFT total energy in eV per atom: -4.535
Density in g/cm3: 8.62
Crystal system: tetragonal

```
5
Lattice="-2.226 2.226 4.665 2.226 -2.226 4.665 2.226 2.226 -4.665" Properties=species:S:1:pos:R:3 pbc="T T T"
Tl 0.000 0.000 0.000
Co 0.000 0.000 3.309
Co 0.000 0.000 6.020
Se 2.226 0.000 2.332
Se 0.000 2.226 2.332
```

[4]
Computed, not measured: TlCoSe3 after structural relaxation at the PBE-GGA level of DFT.

Summary:
Formation energy (no corrections) in meV/atom: -44
DFT total energy in eV per atom: -4.029
Density in g/cm3: 7.84
Crystal system: orthorhombic

```
20
Lattice="6.825 0.000 0.000 0.000 9.620 0.000 0.000 0.000 6.457" Properties=species:S:1:pos:R:3 pbc="T T T"
Tl 0.294 2.405 0.159
Tl 3.119 7.215 3.388
Tl 3.706 2.405 3.070
Tl 6.531 7.215 6.298
Co 0.000 0.000 3.229
Co 0.000 4.810 3.229
Co 3.412 0.000 0.000
Co 3.412 4.810 0.000
Se 0.319 7.215 2.540
Se 1.523 5.371 5.084
Se 1.523 9.060 5.084
Se 1.889 0.561 1.855
Se 1.889 4.250 1.855
Se 3.093 2.405 5.769
Se 3.732 7.215 0.689
Se 4.936 5.371 4.602
Se 4.936 9.060 4.602
Se 5.301 0.561 1.373
Se 5.301 4.250 1.373
Se 6.505 2.405 3.917
```

[5]
Computed, not measured: TlCo2Se after structural relaxation at the PBE-GGA level of DFT.

Summary:
Formation energy (no corrections) in meV/atom: 177
DFT total energy in eV per atom: -4.838
Density in g/cm3: 8.11
Crystal system: trigonal

```
4
Lattice="1.941 1.121 6.296 -1.941 1.121 6.296 0.000 -2.241 6.296" Properties=species:S:1:pos:R:3 pbc="T T T"
Tl 0.000 0.000 0.000
Co 0.000 0.000 8.776
Co 0.000 0.000 14.600
Se 0.000 0.000 3.407
```

[6]
Computed, not measured: TlCoSe after structural relaxation at the PBE-GGA level of DFT.

Summary:
Formation energy (no corrections) in meV/atom: -143
DFT total energy in eV per atom: -4.462
Density in g/cm3: 8.53
Crystal system: tetragonal

```
6
Lattice="4.016 0.000 0.000 0.000 4.016 0.000 0.000 0.000 8.265" Properties=species:S:1:pos:R:3 pbc="T T T"
Tl 1.004 1.004 1.352
Tl 3.012 3.012 6.913
Co 1.004 3.012 4.132
Co 3.012 1.004 4.132
Se 1.004 1.004 5.424
Se 3.012 3.012 2.841
```

[7]
Computed, not measured: TlCo2Se after structural relaxation at the PBE-GGA level of DFT.

Summary:
Formation energy (no corrections) in meV/atom: 506
DFT total energy in eV per atom: -4.510
Density in g/cm3: 10.63
Crystal system: tetragonal

```
4
Lattice="4.422 0.000 0.000 0.000 4.422 0.000 0.000 0.000 3.205" Properties=species:S:1:pos:R:3 pbc="T T T"
Tl 0.000 0.000 0.000
Co 0.000 2.211 1.603
Co 2.211 0.000 1.603
Se 2.211 2.211 0.000
```

[8]
Computed, not measured: TlCoSe3 after structural relaxation at the PBE-GGA level of DFT.

Summary:
Formation energy (no corrections) in meV/atom: 129
DFT total energy in eV per atom: -3.857
Density in g/cm3: 7.25
Crystal system: cubic

```
5
Lattice="4.856 0.000 0.000 0.000 4.856 0.000 0.000 0.000 4.856" Properties=species:S:1:pos:R:3 pbc="T T T"
Tl 0.000 0.000 0.000
Co 2.428 2.428 2.428
Se 0.000 2.428 2.428
Se 2.428 0.000 2.428
Se 2.428 2.428 0.000
```